[1]
The following is a DFT calculation (GGA-PBE) of a geometry-optimized AgTe2Cl structure.

Computed properties:
The value obtained for the total energy is -2.4955 eV per atom.

abc: 5.534 5.534 3.203
angles: 90.00 90.00 90.00
Space group P4/mmm (No. 123)
Inequivalent atoms, fractional coordinates:
Ag 0.000 0.000 0.000 (multiplicity 1)
Te 0.000 0.500 0.500 (multiplicity 2)
Cl 0.500 0.500 0.000 (multiplicity 1)

[2]
The following is a DFT calculation (GGA-PBE) of a geometry-optimized CsTl2Cd structure.

Computed properties:
The relative energy among the computed polymorphs is 0.000 eV/atom. As for the calculated formation energy: -0.074 eV per atom.

abc: 6.803 5.184 9.200
angles: 90.00 110.47 90.00
Space group P2_1/m (No. 11)
Inequivalent atoms, fractional coordinates:
Cs 0.210 0.250 0.424 (multiplicity 2)
Tl 0.143 0.250 0.893 (multiplicity 2)
Tl 0.404 0.750 0.804 (multiplicity 2)
Cd 0.322 0.750 0.122 (multiplicity 2)

[3]
The following is a DFT calculation (GGA-PBE) of a geometry-optimized GdTm2Be structure.

Computed properties:
The relative energy among the computed polymorphs is 0.634 eV/atom. As for the calculated formation energy: 0.693 eV per atom.

abc: 3.4014 3.4014 33.8199
angles: 90.00 90.00 120.00
Space group R-3m (No. 166, hexagonal axes)
Inequivalent atoms, fractional coordinates:
Gd 0.0000 0.0000 0.0000 (multiplicity 3)
Tm 0.0000 0.0000 0.4161 (multiplicity 6)
Be 0.0000 0.0000 0.5000 (multiplicity 3)

[4]
The following is a DFT calculation (GGA-PBE) of a geometry-optimized Zn4CuIr3 structure.

Computed properties:
As for the calculated formation energy: -0.161 eV per atom.

abc: 4.271 4.271 12.115
angles: 90.00 90.00 90.00
Space group I4/mmm (No. 139)
Inequivalent atoms, fractional coordinates:
Zn 0.000 0.500 0.124 (multiplicity 8)
Cu 0.000 0.000 0.000 (multiplicity 2)
Ir 0.000 0.000 0.252 (multiplicity 4)
Ir 0.000 0.000 0.500 (multiplicity 2)

[5]
The following is a DFT calculation (GGA-PBE) of a geometry-optimized NbBi3Ir structure.

Computed properties:
The relative energy among the computed polymorphs is 0.000 eV/atom. As for the calculated formation energy: 1.125 eV per atom.

abc: 5.283 5.283 5.283
angles: 90.00 90.00 90.00
Space group Pm-3m (No. 221)
Inequivalent atoms, fractional coordinates:
Nb 0.000 0.000 0.000 (multiplicity 1)
Bi 0.000 0.500 0.500 (multiplicity 3)
Ir 0.500 0.500 0.500 (multiplicity 1)

[6]
The following is a DFT calculation (GGA-PBE) of a geometry-optimized KCaCdI5 structure.

Computed properties:
The value obtained for the total energy is -2.6538 eV per atom.

abc: 10.429 13.679 11.392
angles: 90.00 113.99 90.00
Space group C2/c (No. 15)
Inequivalent atoms, fractional coordinates:
K 0.000 0.154 0.250 (multiplicity 4)
Ca 0.000 0.500 0.000 (multiplicity 4)
Cd 0.000 0.182 0.750 (multiplicity 4)
I 0.000 0.414 0.250 (multiplicity 4)
I 0.127 0.292 0.617 (multiplicity 8)
I 0.183 0.057 0.947 (multiplicity 8)

[7]
The following is a DFT calculation (GGA-PBE) of a geometry-optimized Cs2Hg3S4 structure.

Computed properties:
The relative energy among the computed polymorphs is 0.049 eV/atom.

abc: 12.988 14.820 6.794
angles: 90.00 118.52 90.00
Space group C2/c (No. 15)
Inequivalent atoms, fractional coordinates:
Cs 0.121 0.238 0.115 (multiplicity 8)
Hg 0.000 0.001 0.250 (multiplicity 4)
Hg 0.176 0.486 0.364 (multiplicity 8)
S 0.126 0.098 0.617 (multiplicity 8)
S 0.127 0.390 0.600 (multiplicity 8)

[8]
The following is a DFT calculation (GGA-PBE) of a geometry-optimized Ca2AgH structure.

Computed properties:
The relative energy among the computed polymorphs is 0.282 eV/atom.

abc: 3.448 3.448 7.478
angles: 90.00 90.00 90.00
Space group P4/mmm (No. 123)
Inequivalent atoms, fractional coordinates:
Ca 0.000 0.000 0.236 (multiplicity 2)
Ag 0.500 0.500 0.500 (multiplicity 1)
H 0.500 0.500 0.000 (multiplicity 1)

no.,V (Å³ per atom),M_tot (μB/cell)
1,24.5,0.0
2,38.0,0.0
3,28.2,20.9
4,13.8,0.0
5,29.5,0.0
6,46.4,0.0
7,31.9,0.0
8,22.2,0.0